Entry from Alexandria via LeMat-Bulk: crystalline B at its relaxed geometry (PBEsol).

Energy above the most stable polymorph in this dataset ... 0.00 eV/f.u.
Symmetry ... Pnnm (58)
Formation enthalpy at 0 K ... 0.000 eV per atom
D(E_F) ... 0.0000 states/eV per atom

POSCAR file:
```
B
1.0
-1.3398 3.1913 -3.6463
-5.3945 -0.9504 1.1503
0.0502 5.1767 4.5123
B
28
direct
0.8354 0.9915 0.5000
0.1602 0.2814 0.8740
0.1525 0.5920 0.7894
0.6482 0.7286 0.5000
0.6708 0.9774 0.0000
0.3354 0.5085 0.0000
0.8398 0.7186 0.8740
0.3475 0.0920 0.2894
0.3292 0.0226 0.0000
0.8475 0.4080 0.7894
0.1602 0.2814 0.1260
0.6525 0.9080 0.2894
0.8475 0.4080 0.2106
0.1525 0.5920 0.2106
0.3398 0.7814 0.3740
0.8518 0.2286 0.0000
0.6602 0.2186 0.3740
0.6602 0.2186 0.6260
0.8292 0.4774 0.5000
0.6646 0.4915 0.0000
0.3518 0.2714 0.5000
0.3398 0.7814 0.6260
0.1646 0.0085 0.5000
0.6525 0.9080 0.7106
0.1708 0.5226 0.5000
0.1482 0.7714 0.0000
0.3475 0.0920 0.7106
0.8398 0.7186 0.1260
```

=====

Entry from Alexandria via LeMat-Bulk: crystalline KBeOs2 at its relaxed geometry (PBEsol).

Symmetry ... P2/m (10)
Formation enthalpy at 0 K ... 1.097 eV per atom
D(E_F) ... 0.9944 states/eV per atom

POSCAR file:
```
KBeOs2
1.0
2.6235 0.0000 -0.0671
0.0000 3.9747 0.0000
-1.3580 0.0000 7.1340
Os Be K
2 1 1
direct
0.8506 0.0000 0.1508
0.1494 0.0000 0.8492
0.5000 0.5000 0.0000
0.5000 0.5000 0.5000
```

=====

Entry from Alexandria via LeMat-Bulk: crystalline CuAs2Pt at its relaxed geometry (PBEsol).

Energy above the most stable polymorph in this dataset ... 0.00 eV/f.u.
Symmetry ... Pm (6)
Formation enthalpy at 0 K ... -0.060 eV per atom
D(E_F) ... 0.4676 states/eV per atom

POSCAR file:
```
CuAs2Pt
1.0
2.7316 0.0000 0.1578
0.0000 3.5911 0.0000
-0.3771 0.0000 6.8173
As Pt Cu
2 1 1
direct
0.9976 0.0000 0.9576
0.0018 0.5000 0.3272
0.9992 0.5000 0.7136
0.5014 0.0000 0.5016
```

=====

Entry from Alexandria via LeMat-Bulk: crystalline K2Hg3Ge2Se8 at its relaxed geometry (PBEsol).

Symmetry ... Aea2 (41)
ΔE_f (raw) ... -697 kJ/mol of formula units

POSCAR file:
```
K2Hg3Ge2Se8
1.0
6.6145 -0.0915 0.0000
-0.8973 6.5540 0.0000
0.0000 0.0000 19.9239
Hg Se Ge K
6 16 4 4
direct
0.3336 0.4268 0.2582
0.4268 0.3336 0.7418
0.5317 0.5317 0.0000
0.0317 0.0317 0.5000
0.9268 0.8336 0.7582
0.8336 0.9268 0.2418
0.2484 0.4304 0.1318
0.2683 0.7909 0.4658
0.3303 0.7424 0.7700
0.2909 0.7683 0.9658
0.3513 0.3198 0.3818
0.3198 0.3513 0.6182
0.7484 0.9304 0.3682
0.9304 0.7484 0.6318
0.2424 0.8303 0.2700
0.8513 0.8198 0.1182
0.7683 0.2909 0.0342
0.7424 0.3303 0.2300
0.4304 0.2484 0.8682
0.7909 0.2683 0.5342
0.8303 0.2424 0.7300
0.8198 0.8513 0.8818
0.4734 0.8983 0.8672
0.3983 0.9734 0.3672
0.9734 0.3983 0.6328
0.8983 0.4734 0.1328
0.4733 0.8855 0.6180
0.8855 0.4733 0.3820
0.9733 0.3855 0.8820
0.3855 0.9733 0.1180
```

=====

Entry from Alexandria via LeMat-Bulk: crystalline Zn2ReSe at its relaxed geometry (PBEsol).

Energy above the most stable polymorph in this dataset ... 0.23 eV/f.u.
Symmetry ... P4/mmm (123)
D(E_F) ... 0.8055 states/eV per atom
ΔE_f (raw) ... 145 kJ/mol of formula units

POSCAR file:
```
Zn2ReSe
1.0
-2.0226 -1.0029 1.5232
1.3641 -2.3417 0.2697
3.8753 3.0840 7.1763
Se Re Zn
1 1 2
direct
0.5000 0.5000 0.5000
0.5000 0.5000 0.0000
0.0000 0.0000 0.2158
0.0000 0.0000 0.7842
```

=====

Entry from Alexandria via LeMat-Bulk: crystalline MnTcIr at its relaxed geometry (PBEsol).

Energy above the most stable polymorph in this dataset ... 0.00 eV/f.u.
Symmetry ... Imm2 (44)
Formation enthalpy at 0 K ... -0.056 eV per atom
D(E_F) ... 1.2014 states/eV per atom

POSCAR file:
```
MnTcIr
1.0
-2.3347 -1.0821 -0.5902
1.5836 -1.9021 -2.7768
1.1373 -1.5096 4.1740
Mn Ir Tc
1 1 1
direct
0.6669 0.6669 0.3339
0.0028 0.0028 0.0055
0.3303 0.3303 0.6606
```

=====

Entry from Alexandria via LeMat-Bulk: crystalline CaAs2Cl at its relaxed geometry (PBEsol).

Energy above the most stable polymorph in this dataset ... 0.57 eV/f.u.
Symmetry ... Fmmm (69)
D(E_F) ... 0.3389 states/eV per atom
ΔE_f (raw) ... -330 kJ/mol of formula units

POSCAR file:
```
CaAs2Cl
1.0
3.7973 0.0137 0.0000
-0.0348 3.7972 0.0000
-1.8813 -1.9054 6.2358
As Cl Ca
2 1 1
direct
0.0000 0.5000 0.5000
0.5000 0.0000 0.5000
0.5000 0.5000 0.0000
0.0000 0.0000 0.0000
```

=====

Entry from Alexandria via LeMat-Bulk: crystalline In3CuPt at its relaxed geometry (PBEsol).

Symmetry ... Pm-3m (221)
Formation enthalpy at 0 K ... 0.403 eV per atom
D(E_F) ... 0.3953 states/eV per atom

POSCAR file:
```
In3CuPt
1.0
-3.5055 2.1511 2.4776
0.9518 -2.8031 3.7803
3.1401 3.2511 1.6201
Pt Cu In
1 1 3
direct
0.5000 0.5000 0.5000
0.0000 0.0000 0.0000
0.0000 0.5000 0.0000
0.0000 0.0000 0.5000
0.5000 0.0000 0.0000
```

=====

Entry from Alexandria via LeMat-Bulk: crystalline KLaCl2 at its relaxed geometry (PBEsol).

Symmetry ... P4/mmm (123)
D(E_F) ... 0.5716 states/eV per atom
ΔE_f (raw) ... -600 kJ/mol of formula units

POSCAR file:
```
KLaCl2
1.0
4.1348 0.0000 0.0000
0.0000 4.1348 0.0000
0.0000 0.0000 5.9643
K La Cl
1 1 2
direct
0.0000 0.0000 0.0000
0.5000 0.5000 0.5000
0.0000 0.0000 0.5000
0.5000 0.5000 0.0000
```

=====

Entry from Alexandria via LeMat-Bulk: crystalline Cd2PtAu at its relaxed geometry (PBEsol).

Symmetry ... Cmmm (65)
Formation enthalpy at 0 K ... -0.236 eV per atom
D(E_F) ... 0.2969 states/eV per atom

POSCAR file:
```
Cd2PtAu
1.0
-0.2257 1.6732 -2.5054
-1.8063 -3.8622 -2.4166
-3.7970 2.4081 1.9502
Cd Pt Au
2 1 1
direct
0.0000 0.5000 0.0000
0.0000 0.0000 0.5000
0.5000 0.0000 0.0000
0.5000 0.5000 0.5000
```

=====

Entry from Alexandria via LeMat-Bulk: crystalline SnPdN2 at its relaxed geometry (PBEsol).

Symmetry ... R-3m (166)
D(E_F) ... 0.4047 states/eV per atom
ΔE_f (raw) ... 239 kJ/mol of formula units

POSCAR file:
```
SnPdN2
1.0
3.1544 0.0000 0.0000
1.5772 2.7318 0.0000
1.5772 0.9106 6.1757
N Pd Sn
2 1 1
direct
0.1148 0.1148 0.6556
0.8852 0.8852 0.3444
0.5000 0.5000 0.5000
0.0000 0.0000 0.0000
```

=====

Entry from Alexandria via LeMat-Bulk: crystalline MgInPb2 at its relaxed geometry (PBEsol).

Symmetry ... F-43m (216)
Formation enthalpy at 0 K ... 0.019 eV per atom
D(E_F) ... 0.5630 states/eV per atom

POSCAR file:
```
MgInPb2
1.0
-3.8060 -2.8838 2.4395
-2.5987 -3.8373 -2.6973
0.8786 -5.1601 1.1642
Mg In Pb
1 1 2
direct
0.2500 0.2500 0.2500
0.5000 0.5000 0.5000
0.0000 0.0000 0.0000
0.7500 0.7500 0.7500
```